# 1
6
Lattice="-3.3296 3.0246 0.5240 0.9925 -1.5831 -4.1253 -4.4853 -5.0890 0.8738" Properties=species:S:1:pos:R:3 comment="DyCoSn PBE-GGA optimized geometry" magmom_total_mub_per_cell=0.019 total_energy_ev_per_atom=-5.66 pbc="T T T"
Dy -1.0941 -1.2413 0.2131
Sn -2.6377 -2.5314 -2.1490
Co -4.2119 -1.1469 -0.5732
Co -0.5285 -0.1383 -2.5599
Dy -3.3367 -3.7858 0.6500
Sn -6.3211 -3.5400 -0.1623

# 2
10
Lattice="7.6513 0.0000 0.0000 0.0000 7.6513 0.0000 0.0000 0.0000 3.7920" Properties=species:S:1:pos:R:3 comment="LiY2Pd2 PBE-GGA optimized geometry" magmom_total_mub_per_cell=0.010 total_energy_ev_per_atom=-5.74 pbc="T T T"
Pd 4.8491 1.0234 0.0000
Li 0.0000 0.0000 0.0000
Y 5.0967 6.3802 1.8960
Li 3.8257 3.8257 0.0000
Pd 6.6279 4.8491 0.0000
Pd 1.0234 2.8022 0.0000
Y 2.5546 1.2711 1.8960
Pd 2.8022 6.6279 0.0000
Y 6.3802 2.5546 1.8960
Y 1.2711 5.0967 1.8960

# 3
6
Lattice="-4.8598 -3.3176 0.1305 0.2535 1.9253 5.5560 -0.7316 3.6147 -4.5869" Properties=species:S:1:pos:R:3 comment="NaPbAu PBE-GGA optimized geometry" total_energy_ev_per_atom=-3.00 pbc="T T T"
Pb -1.1489 0.7719 3.2392
Pb -3.3408 1.7069 -3.1866
Na -1.4139 1.3103 0.0306
Au -3.4751 -1.0504 4.2901
Na -4.7311 0.6681 2.0656
Au -3.9676 -0.2057 -0.7814

# 4
3
Lattice="0.0000 3.2923 3.2923 3.2923 0.0000 3.2923 3.2923 3.2923 0.0000" Properties=species:S:1:pos:R:3 comment="LiErMo PBE-GGA optimized geometry" magmom_total_mub_per_cell=2.583 total_energy_ev_per_atom=-4.43 de_polymorph_ev_per_fu=0.90 pbc="T T T"
Li 1.6461 1.6461 1.6461
Mo 4.9384 4.9384 4.9384
Er 0.0000 0.0000 0.0000

# 5
4
Lattice="0.0000 2.9691 2.9691 2.9691 0.0000 2.9691 2.9691 2.9691 0.0000" Properties=species:S:1:pos:R:3 comment="BeZnCuAg PBE-GGA optimized geometry" total_energy_ev_per_atom=-2.77 de_polymorph_ev_per_fu=0.13 pbc="T T T"
Cu 4.4536 4.4536 4.4536
Zn 0.0000 0.0000 0.0000
Be 1.4846 1.4846 1.4846
Ag 2.9691 2.9691 2.9691

# 6
12
Lattice="-2.0135 3.5772 -5.4792 -2.0327 -2.1021 6.1904 2.3154 5.1329 2.5019" Properties=species:S:1:pos:R:3 comment="Li5Pd6Pb PBE-GGA optimized geometry" total_energy_ev_per_atom=-4.13 pbc="T T T"
Li -2.0199 1.7010 -1.6241
Pd -0.3277 4.4962 2.1877
Pd -0.3121 6.3809 -1.6269
Li 1.1577 2.5665 1.2509
Pb 0.0000 0.0000 0.0000
Pd -0.3247 2.6572 6.0245
Li -2.0264 -0.2259 2.3353
Pd -1.4032 2.1117 1.0254
Pd -1.4061 3.9508 -2.8114
Pd -1.4187 0.2270 4.8400
Li -0.8686 2.3714 3.5227
Li -0.8623 4.2365 -0.3096

# 7
3
Lattice="0.0000 3.0412 3.0412 3.0412 0.0000 3.0412 3.0412 3.0412 0.0000" Properties=species:S:1:pos:R:3 comment="GaMoW PBE-GGA optimized geometry" magmom_total_mub_per_cell=0.183 total_energy_ev_per_atom=-8.19 de_polymorph_ev_per_fu=0.00 pbc="T T T"
Mo 0.0000 0.0000 0.0000
Ga 1.5206 1.5206 1.5206
W 4.5618 4.5618 4.5618

# 8
3
Lattice="0.0000 4.1790 4.1790 4.1790 0.0000 4.1790 4.1790 4.1790 0.0000" Properties=species:S:1:pos:R:3 comment="CsHgIr PBE-GGA optimized geometry" magmom_total_mub_per_cell=2.000 total_energy_ev_per_atom=-1.80 de_polymorph_ev_per_fu=1.68 pbc="T T T"
Cs 0.0000 0.0000 0.0000
Ir 6.2685 6.2685 6.2685
Hg 2.0895 2.0895 2.0895

# 9
3
Lattice="0.0000 3.8899 3.8899 3.8899 0.0000 3.8899 3.8899 3.8899 0.0000" Properties=species:S:1:pos:R:3 comment="BaUBi PBE-GGA optimized geometry" magmom_total_mub_per_cell=4.812 total_energy_ev_per_atom=-5.08 pbc="T T T"
Bi 5.8348 5.8348 5.8348
Ba 1.9449 1.9449 1.9449
U 0.0000 0.0000 0.0000

# 10
12
Lattice="5.6731 0.0000 0.0000 -2.8366 4.9131 0.0000 0.0000 0.0000 9.1366" Properties=species:S:1:pos:R:3 comment="Zr2Nb PBE-GGA optimized geometry" magmom_total_mub_per_cell=0.006 total_energy_ev_per_atom=-8.64 delta_e_f_ev_per_atom=0.421 pbc="T T T"
Nb 0.0000 3.2754 3.9617
Zr 0.0000 0.0000 4.5683
Zr 2.8366 3.1923 2.2841
Zr 1.3463 4.0527 6.8524
Zr -1.3463 4.0527 6.8524
Zr 0.0000 1.7208 6.8524
Zr 4.1829 0.8604 2.2841
Nb 2.8366 1.6377 5.1749
Zr 0.0000 0.0000 0.0000
Nb 2.8366 1.6377 8.5300
Nb 0.0000 3.2754 0.6066
Zr 1.4902 0.8604 2.2841

# 11
4
Lattice="2.8353 -3.5202 -1.0520 -1.5299 -3.5062 -2.6274 1.5647 -0.5018 -4.3402" Properties=species:S:1:pos:R:3 comment="NbBiOs2 PBE-GGA optimized geometry" magmom_total_mub_per_cell=0.002 total_energy_ev_per_atom=-8.39 pbc="T T T"
Os 0.0000 0.0000 0.0000
Bi 1.4351 -3.7641 -4.0098
Nb 0.7175 -1.8820 -2.0049
Os 2.1526 -5.6461 -6.0147

# 12
8
Lattice="1.9887 1.4297 -6.9484 -2.6693 -6.5161 2.1666 -5.8831 3.6120 0.1422" Properties=species:S:1:pos:R:3 comment="TbICl2 PBE-GGA optimized geometry" magmom_total_mub_per_cell=0.000 total_energy_ev_per_atom=-4.46 pbc="T T T"
Cl -5.5983 0.0355 0.6793
Tb 1.1868 0.0618 -5.3792
Cl -0.9654 -1.5100 -5.3188
Tb -1.8674 -5.1482 0.5974
Cl -2.7400 -4.5372 -1.8462
I -4.8005 -1.2797 -3.5688
I -1.7631 -0.1947 -1.0707
Cl -3.8237 3.0627 -2.7933

# 13
4
Lattice="0.0000 3.4353 3.4353 3.4353 0.0000 3.4353 3.4353 3.4353 0.0000" Properties=species:S:1:pos:R:3 comment="ScSn2Ir PBE-GGA optimized geometry" magmom_total_mub_per_cell=0.000 total_energy_ev_per_atom=-6.06 pbc="T T T"
Sn 5.1530 5.1530 5.1530
Ir 3.4353 3.4353 3.4353
Sn 0.0000 0.0000 0.0000
Sc 1.7177 1.7177 1.7177

# 14
20
Lattice="-1.6350 1.0145 9.3225 2.9386 -2.9502 0.8364 10.8317 10.9886 0.7039" Properties=species:S:1:pos:R:3 comment="TlHgBr3 PBE-GGA optimized geometry" total_energy_ev_per_atom=-2.13 pbc="T T T"
Hg 9.6035 10.4805 8.6185
Br 4.2212 4.0638 4.8952
Tl 7.9964 6.1633 9.8202
Br 10.9080 10.4938 4.0824
Br 4.8773 5.7124 8.4049
Br 7.9141 4.9890 5.9675
Br 0.2998 1.4223 9.3548
Hg 5.9210 3.3473 7.1789
Br 1.2273 -1.4410 6.7803
Br 4.0578 0.4486 3.5007
Br 8.0774 8.6043 7.3621
Br 3.9936 1.7201 8.2109
Hg 2.5318 -1.4277 2.2443
Tl 4.1389 2.8896 1.0426
Tl 1.7164 1.7686 5.5995
Br 8.1416 7.3328 2.6519
Tl 10.4189 7.2843 5.2633
Br 7.2579 3.3404 2.4579
Br 11.8354 7.6306 1.5080
Hg 6.2142 5.7056 3.6838

# 15
4
Lattice="0.0000 3.1530 3.1530 3.1530 0.0000 3.1530 3.1530 3.1530 0.0000" Properties=species:S:1:pos:R:3 comment="ScNbCuIr PBE-GGA optimized geometry" magmom_total_mub_per_cell=0.001 total_energy_ev_per_atom=-7.60 delta_e_f_ev_per_atom=-0.354 de_polymorph_ev_per_fu=0.13 pbc="T T T"
Cu 4.7295 4.7295 4.7295
Ir 3.1530 3.1530 3.1530
Sc 0.0000 0.0000 0.0000
Nb 1.5765 1.5765 1.5765

# 16
11
Lattice="-4.1831 -3.2824 -6.0906 0.3833 -8.0716 0.2659 -6.2687 0.4089 4.8113" Properties=species:S:1:pos:R:3 comment="Al2PdI6Br2 PBE-GGA optimized geometry" total_energy_ev_per_atom=-2.95 de_polymorph_ev_per_fu=0.00 pbc="T T T"
Al -2.8578 -2.3649 0.2712
Br -6.9502 -6.6885 -0.0465
I -5.3811 -9.0477 -2.9511
I -8.1078 -2.6245 -0.0729
Al -7.2107 -8.5802 -1.2846
I -4.6636 -5.4858 -4.7029
I -4.6874 -1.8974 1.9378
I -5.4050 -5.4592 3.6896
Pd 0.0000 0.0000 0.0000
I -1.9607 -8.3206 -0.9405
Br -3.1183 -4.2565 -0.9669

# 17
9
Lattice="-6.0480 0.3593 -0.8579 -0.5368 -5.9578 1.2885 -0.7596 1.3488 5.9201" Properties=species:S:1:pos:R:3 comment="KCu3ReSe4 PBE-GGA optimized geometry" magmom_total_mub_per_cell=1.184 total_energy_ev_per_atom=-4.36 pbc="T T T"
Se -2.0293 -1.1742 1.7547
Se -5.0749 -0.4100 4.0195
Cu -3.2924 -2.7992 0.2153
K 0.0000 0.0000 0.0000
Cu -3.4038 0.8541 2.5311
Se -4.9752 -3.6788 1.9474
Cu -0.6482 -2.3045 3.6043
Se -2.6093 -3.2362 4.9798
Re -3.6722 -2.1248 3.1753

# 18
8
Lattice="-0.5117 0.5613 4.3916 -0.4516 -5.2727 0.6213 6.9907 -0.4952 0.8778" Properties=species:S:1:pos:R:3 comment="DyErCu2 PBE-GGA optimized geometry" magmom_total_mub_per_cell=0.007 total_energy_ev_per_atom=-4.42 delta_e_f_ev_per_atom=-0.270 de_polymorph_ev_per_fu=0.00 pbc="T T T"
Er 1.6903 -3.1232 2.8576
Cu 6.1107 -4.8226 3.5899
Dy 1.2184 -0.7007 0.2315
Cu 3.5536 -2.2528 0.7020
Cu 2.9559 -0.5994 2.6825
Er 5.2902 -2.1510 3.1528
Cu -0.0527 -3.3000 0.4156
Dy 4.3668 -4.9997 1.1478

# 19
24
Lattice="-3.1902 3.0463 -3.5687 -5.1040 -1.9471 -1.5333 -2.9472 6.1249 12.2547" Properties=species:S:1:pos:R:3 comment="Sc2Ta4Sn3N3 PBE-GGA optimized geometry" magmom_total_mub_per_cell=0.006 total_energy_ev_per_atom=-8.83 pbc="T T T"
Sn -5.7146 -0.0867 1.3962
Ta -8.7777 3.1775 0.7999
Sn -7.9963 4.8594 5.9343
Sn -3.2451 2.3646 1.2185
Ta -3.2460 2.4104 4.2175
Sn -6.1583 2.7478 -0.5807
Sc -4.1241 0.6283 -1.0116
Sc -5.2825 4.5132 4.7805
N -5.9828 7.7721 9.6220
Sc -7.1174 6.5957 8.1643
Ta -1.2895 0.2031 0.5438
N -3.0687 4.5856 4.3430
Ta -4.3969 6.3149 10.0016
N -5.2586 -0.5480 -2.4693
Ta -6.8446 0.9092 -2.8489
Ta -9.9520 7.0209 6.6089
Sc -5.9589 2.7109 2.3722
Ta -7.9955 4.8136 2.9353
N -5.8233 4.8859 2.6914
Sn -5.0831 4.4763 7.7334
N -2.5520 -0.9736 -0.7666
N -5.4181 2.3382 4.4613
Sn -5.5268 7.3108 5.7565
Ta -2.4638 4.0466 6.3528

# 20
10
Lattice="-7.7421 3.3898 -3.6019 -5.6995 2.5911 -6.7236 -1.5589 -7.8970 1.0005" Properties=species:S:1:pos:R:3 comment="Nd2Dy2CBr3Cl2 PBE-GGA optimized geometry" magmom_total_mub_per_cell=0.304 total_energy_ev_per_atom=-5.21 de_polymorph_ev_per_fu=0.01 pbc="T T T"
Nd -6.2009 -5.0916 -2.7547
Dy -1.2452 -6.2955 0.7961
Dy -13.7554 4.3794 -10.1210
Nd -8.7996 3.1755 -6.5703
Cl -2.6228 -1.8245 -1.2494
Br -3.5126 -5.4505 -0.9038
C -6.7208 2.9904 -5.1627
Br -7.5003 -0.9581 -4.6625
Br -11.4879 3.5343 -8.4212
Cl -12.3777 -0.0916 -8.0756